No. 1
TlOsBr GGA-PBE relaxed; formation energy (no corrections) = 1047 meV per atom; DOS(E_F) = 0.668 states/eV per atom
1.0
-7.3798 1.3771 -0.2218
-6.8815 -2.9882 -0.3503
7.0509 0.7318 2.4811
Tl Os Br
1 1 1
Direct
0.6927 0.6927 0.0000 Tl
0.3529 0.3529 0.0000 Os
0.9544 0.9544 0.0000 Br

---

No. 2
Cr2CuRu GGA-PBE relaxed; formation enthalpy at 0 K = 0.214 eV per atom; DOS(E_F) = 1.110 states/eV per atom
1.0
2.9376 0.0000 0.0000
0.0000 2.9376 0.0000
0.0000 0.0000 5.9065
Cr Cu Ru
2 1 1
Direct
0.0000 0.0000 0.0099 Cr
0.5000 0.5000 0.2434 Cr
0.0000 0.0000 0.4861 Cu
0.5000 0.5000 0.7606 Ru

---

No. 3
BaSn8Pt2 GGA-PBE relaxed; formation enthalpy at 0 K = -0.286 eV per atom; DOS(E_F) = 0.636 states/eV per atom
1.0
4.9931 0.2730 -0.4779
-1.1363 7.6645 -2.6964
0.3636 -0.7626 8.1604
Ba Sn Pt
1 8 2
Direct
0.5000 0.0000 0.0000 Ba
0.9039 0.9460 0.6527 Sn
0.9039 0.6527 0.9460 Sn
0.2857 0.6033 0.6033 Sn
0.5000 0.7430 0.2570 Sn
0.5000 0.2570 0.7430 Sn
0.7143 0.3967 0.3967 Sn
0.0961 0.3473 0.0540 Sn
0.0961 0.0540 0.3473 Sn
0.0000 0.3323 0.6677 Pt
0.0000 0.6677 0.3323 Pt

---

Among the records above, which one has the highest DOS(E_F)?
Cr2CuRu